Entry 1:
Ba2GaSe2: optimized geometry, PBEsol.

## Properties
- Fermi-level density of states (states/eV per cell) = 4.58
- space group = I4/mmm (139)

a b c (Å): 6.3132 6.3132 6.1877
angles (deg): 120.67 120.67 90.00
With the nearest neighbours (Å) after each atom.
Fractional coordinates of all 5 atoms:
Ba 0.7500 0.2500 0.5000  4 Se 3.20
Ba 0.2500 0.7500 0.5000  4 Se 3.20
Ga 0.0000 0.0000 0.0000  2 Se 2.67
Se 0.6879 0.6879 0.3757  1 Ga 2.67
Se 0.3121 0.3121 0.6243  1 Ga 2.67



Entry 2:
BaGa4Se7: optimized geometry, PBEsol.

## Properties
- Fermi-level density of states (states/eV per cell) = 0.00
- space group = Pc (7)

a b c (Å): 6.5076 7.5856 12.5590
angles (deg): 89.75 90.00 90.00
With the nearest neighbours (Å) after each atom.
Fractional coordinates of all 24 atoms:
Ga 0.1663 0.2663 0.7414  4 Se 2.37-2.45
Ga 0.8421 0.2666 0.2267  4 Se 2.37-2.46
Ga 0.0115 0.9977 0.0003  4 Se 2.39-2.49
Ga 0.1579 0.7666 0.7267  4 Se 2.37-2.46
Ga 0.9885 0.4977 0.5003  4 Se 2.39-2.49
Ga 0.8337 0.7663 0.2414  4 Se 2.37-2.45
Ga 0.6354 0.5128 0.7247  4 Se 2.39-2.50
Ga 0.3646 0.0128 0.2247  4 Se 2.39-2.50
Se 0.1067 0.7887 0.5400  2 Ga 2.37-2.39
Se 0.5088 0.7749 0.3269  2 Ga 2.37-2.40
Se 0.4933 0.2951 0.2789  2 Ga 2.37-2.40
Se 0.6306 0.4620 0.5373  2 Ga 2.39
Se 0.0192 0.0207 0.3108  3 Ga 2.43-2.50
Se 0.3694 0.9620 0.0373  2 Ga 2.39
Se 0.0355 0.5130 0.3040  3 Ga 2.45-2.49
Se 0.8494 0.7243 0.0534  2 Ga 2.39-2.42
Se 0.9645 0.0130 0.8040  3 Ga 2.45-2.49
Se 0.8933 0.2887 0.0400  2 Ga 2.37-2.39
Se 0.5067 0.7951 0.7789  2 Ga 2.37-2.40
Se 0.4912 0.2749 0.8269  2 Ga 2.37-2.40
Se 0.9808 0.5207 0.8108  3 Ga 2.43-2.50
Se 0.1506 0.2243 0.5534  2 Ga 2.39-2.42
Ba 0.3511 0.5179 0.0474  6 Se 3.37-3.62
Ba 0.6489 0.0179 0.5474  6 Se 3.37-3.62



Entry 3:
Ba2YGaSe5: optimized geometry, PBEsol.

## Properties
- space group = P-1 (2)

a b c (Å): 7.2656 8.6288 9.3352
angles (deg): 103.50 103.27 107.41
With the nearest neighbours (Å) after each atom.
Fractional coordinates of all 18 atoms:
Se 0.9828 0.1548 0.6847  1 Ga 2.40
Se 0.2956 0.5893 0.0569  2 Y 2.79-2.80
Se 0.5153 0.2598 0.5095  1 Ga 2.36
Se 0.7125 0.9092 0.9293  1 Ga 2.49
Se 0.7044 0.4107 0.9431  2 Y 2.79-2.80
Se 0.4847 0.7402 0.4905  1 Ga 2.36
Se 0.0172 0.8452 0.3153  1 Ga 2.40
Se 0.2875 0.0908 0.0707  1 Ga 2.49
Se 0.9863 0.6792 0.6828  1 Ga 2.40
Se 0.0137 0.3208 0.3172  1 Ga 2.40
Ba 0.3457 0.5117 0.7088  8 Se 3.24-3.56
Ba 0.6348 0.9787 0.2895  7 Se 3.22-3.48
Ba 0.6543 0.4883 0.2912  8 Se 3.24-3.56
Ba 0.3652 0.0213 0.7105  7 Se 3.22-3.48
Y 0.0015 0.2686 0.0015  6 Se 2.79-2.99
Y 0.9985 0.7313 0.9985  6 Se 2.79-2.99
Ga 0.1942 0.1283 0.3132  4 Se 2.36-2.49
Ga 0.8058 0.8717 0.6868  4 Se 2.36-2.49



Entry 4:
BaGaSi: optimized geometry, PBEsol.

## Properties
- Fermi-level density of states (states/eV per cell) = 1.44
- space group = P-6m2 (187)

a b c (Å): 4.2139 4.2139 5.0639
angles (deg): 90.00 90.00 120.00
With the nearest neighbours (Å) after each atom.
Fractional coordinates of all 3 atoms:
Ga 0.6667 0.3333 0.5000  3 Si 2.43
Ba 0.0000 0.0000 0.0000  6 Si 3.51, 6 Ga 3.51
Si 0.3333 0.6667 0.5000  3 Ga 2.43



The E_form (uncorrected) results, record by record, are as follows: -0.962, -0.856, -1.652, -0.494 eV per atom.